DFT (GGA-PBE) results for an optimized crystal structure of SmHo6Tm4.

Lattice parameters (Å, degrees): 5.600 5.566 25.496 90.00 90.00 120.20
Sites, in units of the cell vectors:
Tm1 0.509 0.017 0.879
Ho1 0.159 0.318 0.181
Tm2 0.836 0.672 0.542
Ho2 0.500 0.000 0.500
Ho3 0.493 0.986 0.250
Ho4 0.826 0.652 0.398
Tm3 0.509 0.017 0.621
Tm4 0.164 0.328 0.042
Tm5 0.164 0.328 0.458
Sm1 0.827 0.653 0.250
Tm6 0.491 0.983 0.121
Tm7 0.836 0.672 0.958
Ho5 0.507 0.014 0.750
Ho6 0.174 0.348 0.898
Ho7 0.159 0.318 0.319
Ho8 0.500 0.000 0.000
Ho9 0.826 0.652 0.102
Tm8 0.491 0.983 0.379
Sm2 0.173 0.347 0.750
Ho10 0.841 0.682 0.681
Ho11 0.841 0.682 0.819
Ho12 0.174 0.348 0.602

The calculated density is 8.78 g/cm3. Its formation enthalpy at 0 K is 0.125 eV/atom. The space group is Cmcm, No. 63. The energy above the most stable polymorph in this dataset is 0.00 eV/f.u.

DFT (GGA-PBE) results for an optimized crystal structure of Sm5Ho4Tm4.

Lattice parameters (Å, degrees): 5.015 9.401 9.401 85.92 74.53 74.53
Sites, in units of the cell vectors:
Sm1 0.305 0.156 0.233
Tm1 0.614 0.310 0.462
Ho1 0.767 0.387 0.078
Sm2 0.462 0.233 0.844
Tm2 0.076 0.538 0.310
Ho2 0.233 0.613 0.922
Tm3 0.386 0.690 0.538
Tm4 0.924 0.462 0.690
Ho3 0.155 0.078 0.613
Sm3 0.538 0.767 0.156
Sm4 0.000 0.000 0.000
Ho4 0.845 0.922 0.387
Sm5 0.695 0.844 0.767

The calculated density is 8.42 g/cm3. Its formation enthalpy at 0 K is 0.021 eV/atom. The space group is I4/m, No. 87.

DFT (GGA-PBE) results for an optimized crystal structure of Sm3Ho8Tm4.

Lattice parameters (Å, degrees): 6.679 9.212 9.212 87.50 111.13 111.13
Sites, in units of the cell vectors:
Tm1 0.000 0.500 0.000
Tm2 0.000 0.000 0.000
Ho1 0.976 0.744 0.744
Ho2 0.000 0.641 0.359
Ho3 0.000 0.359 0.641
Ho4 0.500 0.749 0.251
Tm3 0.000 0.000 0.500
Sm1 0.500 0.000 0.500
Sm2 0.500 0.500 0.000
Ho5 0.024 0.256 0.256
Tm4 0.500 0.000 0.000
Sm3 0.500 0.500 0.500
Ho6 0.500 0.251 0.749
Ho7 0.441 0.729 0.729
Ho8 0.559 0.271 0.271

The calculated density is 8.28 g/cm3. Its formation enthalpy at 0 K is 0.408 eV/atom. The space group is C2/m, No. 12.

DFT (GGA-PBE) results for an optimized crystal structure of Sm9Ho2Tm.

Lattice parameters (Å, degrees): 5.088 5.088 15.262 90.00 90.00 90.00
Sites, in units of the cell vectors:
Sm1 0.500 0.500 0.667
Sm2 0.500 0.500 0.333
Sm3 0.500 0.000 0.500
Ho1 0.000 0.000 0.667
Ho2 0.000 0.000 0.333
Sm4 0.000 0.500 0.834
Sm5 0.000 0.500 0.166
Sm6 0.000 0.500 0.500
Tm1 0.000 0.000 0.000
Sm7 0.500 0.000 0.166
Sm8 0.500 0.500 0.000
Sm9 0.500 0.000 0.834

The calculated density is 7.79 g/cm3. Its formation enthalpy at 0 K is 0.018 eV/atom. The space group is P4/mmm, No. 123. The energy above the most stable polymorph in this dataset is 0.00 eV/f.u.

DFT (GGA-PBE) results for an optimized crystal structure of Sm7HoTm3.

Lattice parameters (Å, degrees): 5.832 8.478 8.478 83.21 110.18 110.18
Sites, in units of the cell vectors:
Sm1 0.000 0.500 0.500
Tm1 0.000 0.205 0.795
Sm2 0.210 0.208 0.208
Sm3 0.307 0.018 0.597
Tm2 0.500 0.000 0.000
Sm4 0.693 0.403 0.982
Sm5 0.307 0.597 0.018
Tm3 0.000 0.795 0.205
Sm6 0.693 0.982 0.403
Ho1 0.500 0.500 0.500
Sm7 0.790 0.792 0.792

The calculated density is 7.75 g/cm3. Its formation enthalpy at 0 K is 0.243 eV/atom. The space group is C2/m, No. 12. The energy above the most stable polymorph in this dataset is 1.30 eV/f.u.

DFT (GGA-PBE) results for an optimized crystal structure of Sm4HoTm.

Lattice parameters (Å, degrees): 3.451 8.213 8.213 89.99 90.00 90.00
Sites, in units of the cell vectors:
Ho1 0.000 0.500 0.500
Sm1 0.000 0.762 0.762
Tm1 0.500 0.000 0.000
Sm2 0.500 0.260 0.740
Sm3 0.500 0.740 0.260
Sm4 0.000 0.238 0.238

The calculated density is 6.67 g/cm3. Its formation enthalpy at 0 K is 0.648 eV/atom. The space group is Cmmm, No. 65. The energy above the most stable polymorph in this dataset is 3.78 eV/f.u.

DFT (GGA-PBE) results for an optimized crystal structure of Sm4HoTm6.

Lattice parameters (Å, degrees): 9.636 9.636 9.636 57.70 140.10 140.10
Sites, in units of the cell vectors:
Tm1 0.643 0.195 0.195
Sm1 0.377 0.363 0.363
Tm2 0.357 0.552 0.552
Sm2 0.000 0.014 0.637
Sm3 0.623 0.986 0.986
Ho1 0.000 0.000 0.000
Tm3 0.500 0.500 0.000
Tm4 0.000 0.805 0.448
Tm5 0.500 0.000 0.500
Tm6 0.000 0.448 0.805
Sm4 0.000 0.637 0.014

The calculated density is 8.10 g/cm3. Its formation enthalpy at 0 K is 0.302 eV/atom. The space group is I-42m, No. 121. The energy above the most stable polymorph in this dataset is 0.00 eV/f.u.

DFT (GGA-PBE) results for an optimized crystal structure of Sm2Ho3Tm.

Lattice parameters (Å, degrees): 5.957 12.197 12.197 46.84 42.94 42.94
Sites, in units of the cell vectors:
Ho1 0.750 0.609 0.391
Ho2 0.938 0.854 0.685
Ho3 0.438 0.685 0.854
Ho4 0.250 0.391 0.609
Sm1 0.650 0.583 0.151
Tm1 0.000 0.000 0.000
Ho5 0.562 0.315 0.146
Sm2 0.850 0.849 0.417
Sm3 0.350 0.417 0.849
Tm2 0.500 0.000 0.000
Ho6 0.062 0.146 0.315
Sm4 0.150 0.151 0.583

The calculated density is 8.22 g/cm3. Its formation enthalpy at 0 K is 0.164 eV/atom. The space group is C2/c, No. 15. The energy above the most stable polymorph in this dataset is 0.59 eV/f.u.

DFT (GGA-PBE) results for an optimized crystal structure of Sm7Ho12Tm.

Lattice parameters (Å, degrees): 8.737 8.737 8.737 85.99 85.99 85.99
Sites, in units of the cell vectors:
Tm1 0.000 0.000 0.000
Sm1 0.500 0.500 0.500
Ho1 0.497 0.617 0.134
Ho2 0.271 0.147 0.747
Ho3 0.747 0.271 0.147
Ho4 0.853 0.253 0.729
Sm2 0.077 0.154 0.399
Sm3 0.846 0.601 0.923
Ho5 0.729 0.853 0.253
Ho6 0.617 0.134 0.497
Sm4 0.154 0.399 0.077
Ho7 0.503 0.383 0.866
Sm5 0.923 0.846 0.601
Ho8 0.383 0.866 0.503
Sm6 0.601 0.923 0.846
Ho9 0.134 0.497 0.617
Ho10 0.147 0.747 0.271
Sm7 0.399 0.077 0.154
Ho11 0.253 0.729 0.853
Ho12 0.866 0.503 0.383

The calculated density is 8.02 g/cm3. Its formation enthalpy at 0 K is 0.236 eV/atom. The space group is R-3, No. 148. The energy above the most stable polymorph in this dataset is 0.00 eV/f.u.

DFT (GGA-PBE) results for an optimized crystal structure of Sm12Ho5Tm2.

Lattice parameters (Å, degrees): 9.363 9.339 8.342 89.71 90.00 120.09
Sites, in units of the cell vectors:
Sm1 0.449 0.899 0.710
Ho1 0.646 0.292 0.940
Sm2 0.027 0.634 0.781
Sm3 0.551 0.101 0.290
Ho2 0.250 0.500 0.535
Sm4 0.388 0.216 0.622
Ho3 0.354 0.708 0.060
Ho4 0.000 0.000 0.500
Tm1 0.219 0.000 0.000
Sm5 0.161 0.323 0.871
Sm6 0.973 0.366 0.219
Ho5 0.750 0.500 0.465
Tm2 0.781 0.000 0.000
Sm7 0.839 0.677 0.129
Sm8 0.394 0.366 0.219
Sm9 0.828 0.216 0.622
Sm10 0.612 0.784 0.378
Sm11 0.172 0.784 0.378
Sm12 0.606 0.634 0.781

The calculated density is 7.81 g/cm3. Its formation enthalpy at 0 K is 0.141 eV/atom. The space group is C2/m, No. 12. The energy above the most stable polymorph in this dataset is 0.70 eV/f.u.

DFT (GGA-PBE) results for an optimized crystal structure of SmHoTm4.

Lattice parameters (Å, degrees): 3.434 6.543 9.639 90.00 90.00 121.64
Sites, in units of the cell vectors:
Tm1 0.997 0.501 0.333
Sm1 0.997 0.001 0.502
Tm2 0.497 0.001 0.837
Ho1 0.497 0.501 0.002
Tm3 0.497 0.001 0.167
Tm4 0.997 0.501 0.671

The calculated density is 8.92 g/cm3. Its formation enthalpy at 0 K is 0.081 eV/atom. The space group is Pmmm, No. 47. The energy above the most stable polymorph in this dataset is 0.00 eV/f.u.

DFT (GGA-PBE) results for an optimized crystal structure of Sm5Ho2Tm3.

Lattice parameters (Å, degrees): 9.692 9.697 11.136 127.36 127.35 66.81
Sites, in units of the cell vectors:
Tm1 0.220 0.970 0.939
Ho1 0.776 0.037 0.763
Sm1 0.723 0.473 0.947
Sm2 0.518 0.268 0.535
Sm3 0.482 0.732 0.465
Sm4 0.021 0.771 0.541
Sm5 0.277 0.527 0.053
Sm6 0.897 0.648 0.772
Tm2 0.973 0.232 0.756
Tm3 0.027 0.768 0.244
Tm4 0.283 0.524 0.756
Sm7 0.376 0.124 0.772
Tm5 0.780 0.030 0.061
Ho2 0.487 0.726 0.763
Sm8 0.979 0.229 0.459
Sm9 0.103 0.352 0.228
Tm6 0.717 0.476 0.244
Ho3 0.513 0.274 0.237
Ho4 0.224 0.963 0.237
Sm10 0.624 0.876 0.228

The calculated density is 7.98 g/cm3. Its formation enthalpy at 0 K is 0.193 eV/atom. The space group is C2/c, No. 15. The energy above the most stable polymorph in this dataset is 0.00 eV/f.u.

DFT (GGA-PBE) results for an optimized crystal structure of SmHoTm6.

Lattice parameters (Å, degrees): 6.703 6.703 9.360 110.85 110.85 120.82
Sites, in units of the cell vectors:
Tm1 0.330 0.830 0.753
Ho1 0.000 0.000 0.000
Tm2 0.712 0.712 0.249
Tm3 0.170 0.670 0.247
Tm4 0.288 0.288 0.751
Tm5 0.830 0.330 0.753
Sm1 0.500 0.500 0.500
Tm6 0.670 0.170 0.247

The calculated density is 8.81 g/cm3. Its formation enthalpy at 0 K is 0.232 eV/atom. The space group is C2/m, No. 12. The energy above the most stable polymorph in this dataset is 0.82 eV/f.u.

DFT (GGA-PBE) results for an optimized crystal structure of SmHo7Tm12.

Lattice parameters (Å, degrees): 8.577 8.577 8.577 95.23 95.23 95.23
Sites, in units of the cell vectors:
Ho1 0.017 0.082 0.352
Ho2 0.082 0.352 0.017
Tm1 0.853 0.585 0.522
Tm2 0.318 0.190 0.749
Tm3 0.415 0.478 0.147
Tm4 0.478 0.147 0.415
Tm5 0.810 0.251 0.682
Tm6 0.251 0.682 0.810
Tm7 0.585 0.522 0.853
Tm8 0.749 0.318 0.190
Ho3 0.648 0.983 0.918
Tm9 0.522 0.853 0.585
Tm10 0.147 0.415 0.478
Ho4 0.500 0.500 0.500
Tm11 0.190 0.749 0.318
Ho5 0.918 0.648 0.983
Tm12 0.682 0.810 0.251
Ho6 0.983 0.918 0.648
Ho7 0.352 0.017 0.082
Sm1 0.000 0.000 0.000

The calculated density is 8.89 g/cm3. Its formation enthalpy at 0 K is 0.316 eV/atom. The space group is R-3, No. 148. The energy above the most stable polymorph in this dataset is 0.00 eV/f.u.

DFT (GGA-PBE) results for an optimized crystal structure of Sm2HoTm5.

Lattice parameters (Å, degrees): 9.751 6.474 10.678 119.18 117.17 90.00
Sites, in units of the cell vectors:
Tm1 0.110 0.370 0.395
Sm1 0.823 0.539 0.158
Sm2 0.177 0.461 0.842
Ho1 0.000 0.000 0.500
Tm2 0.943 0.750 0.000
Tm3 0.491 0.445 0.799
Tm4 0.693 0.055 0.201
Sm3 0.665 0.961 0.842
Sm4 0.335 0.039 0.158
Ho2 0.500 0.500 0.500
Tm5 0.307 0.945 0.799
Tm6 0.057 0.250 0.000
Tm7 0.284 0.870 0.395
Tm8 0.890 0.630 0.605
Tm9 0.716 0.130 0.605
Tm10 0.509 0.555 0.201

The calculated density is 8.67 g/cm3. Its formation enthalpy at 0 K is 0.171 eV/atom. The space group is C2/c, No. 15. The energy above the most stable polymorph in this dataset is 1.18 eV/f.u.

DFT (GGA-PBE) results for an optimized crystal structure of Sm5HoTm.

Lattice parameters (Å, degrees): 6.841 10.189 9.588 38.88 60.20 36.76
Sites, in units of the cell vectors:
Sm1 0.807 0.381 0.120
Sm2 0.644 0.772 0.501
Tm1 0.000 0.000 0.000
Sm3 0.356 0.228 0.499
Ho1 0.500 0.500 0.500
Sm4 0.500 0.000 0.000
Sm5 0.193 0.619 0.880

The calculated density is 7.63 g/cm3. Its formation enthalpy at 0 K is 0.196 eV/atom. The space group is P-1, No. 2. The energy above the most stable polymorph in this dataset is 0.00 eV/f.u.

DFT (GGA-PBE) results for an optimized crystal structure of Sm4Ho4Tm5.

Lattice parameters (Å, degrees): 5.000 9.372 9.372 85.92 74.53 74.53
Sites, in units of the cell vectors:
Tm1 0.690 0.849 0.772
Ho1 0.153 0.076 0.618
Ho2 0.847 0.924 0.382
Sm1 0.922 0.461 0.695
Tm2 0.310 0.151 0.228
Tm3 0.539 0.772 0.151
Ho3 0.771 0.382 0.076
Sm2 0.383 0.695 0.539
Sm3 0.617 0.305 0.461
Tm4 0.461 0.228 0.849
Sm4 0.078 0.539 0.305
Tm5 0.000 0.000 0.000
Ho4 0.229 0.618 0.924

The calculated density is 8.57 g/cm3. Its formation enthalpy at 0 K is 0.022 eV/atom. The space group is I4/m, No. 87.

DFT (GGA-PBE) results for an optimized crystal structure of Sm7Ho3Tm.

Lattice parameters (Å, degrees): 5.847 8.490 8.490 82.96 110.17 110.17
Sites, in units of the cell vectors:
Sm1 0.789 0.790 0.790
Sm2 0.211 0.210 0.210
Tm1 0.500 0.500 0.500
Ho1 0.500 0.000 0.000
Sm3 0.693 0.982 0.403
Sm4 0.693 0.403 0.982
Sm5 0.307 0.018 0.597
Ho2 0.000 0.795 0.205
Ho3 0.000 0.205 0.795
Sm6 0.000 0.500 0.500
Sm7 0.307 0.597 0.018

The calculated density is 7.68 g/cm3. Its formation enthalpy at 0 K is 0.245 eV/atom. The space group is C2/m, No. 12. The energy above the most stable polymorph in this dataset is 1.32 eV/f.u.

DFT (GGA-PBE) results for an optimized crystal structure of Sm4Ho8Tm3.

Lattice parameters (Å, degrees): 6.706 9.247 9.247 87.53 111.39 111.39
Sites, in units of the cell vectors:
Sm1 0.000 0.500 0.000
Ho1 0.004 0.271 0.271
Tm1 0.500 0.000 0.500
Ho2 0.000 0.638 0.362
Ho3 0.479 0.733 0.733
Sm2 0.500 0.000 0.000
Sm3 0.000 0.000 0.000
Ho4 0.000 0.362 0.638
Sm4 0.000 0.000 0.500
Ho5 0.521 0.267 0.267
Ho6 0.996 0.729 0.729
Tm2 0.500 0.500 0.000
Tm3 0.500 0.500 0.500
Ho7 0.500 0.254 0.746
Ho8 0.500 0.746 0.254

The calculated density is 8.15 g/cm3. Its formation enthalpy at 0 K is 0.383 eV/atom. The space group is C2/m, No. 12. The energy above the most stable polymorph in this dataset is 3.85 eV/f.u.